Entry 1:
Compound: Ti2ZnSbPb
Source: Alexandria via LeMat-Bulk
Functional: PBE
Structure: optimized geometry

## Properties
- Total DFT energy (no corrections): -18.74 eV for the cell shown

The structure in POSCAR format:
```
Ti2ZnSbPb
1.0
-5.180 -0.168 -1.090
0.291 -5.256 -0.574
-1.144 -0.669 5.541
Pb Sb Zn Ti
1 1 1 2
direct
0.000 0.000 0.000 Pb
0.000 0.000 0.500 Sb
0.500 0.500 0.500 Zn
0.000 0.500 0.000 Ti
0.500 0.000 0.000 Ti
```


Entry 2:
Compound: Tl12SbPb6
Source: Alexandria via LeMat-Bulk
Functional: PBE
Structure: optimized geometry

## Properties
- Total DFT energy (no corrections): -54.22 eV for the cell shown

The structure in POSCAR format:
```
Tl12SbPb6
1.0
-3.474 3.721 6.834
-5.954 -6.091 0.278
5.017 -4.659 5.074
Tl Sb Pb
12 1 6
direct
0.568 0.197 0.479 Tl
0.197 0.479 0.568 Tl
0.479 0.568 0.197 Tl
0.432 0.803 0.521 Tl
0.803 0.521 0.432 Tl
0.521 0.432 0.803 Tl
0.958 0.850 0.630 Tl
0.370 0.042 0.150 Tl
0.150 0.370 0.042 Tl
0.042 0.150 0.370 Tl
0.630 0.958 0.850 Tl
0.850 0.630 0.958 Tl
0.000 0.000 0.000 Sb
0.266 0.109 0.743 Pb
0.891 0.257 0.734 Pb
0.257 0.734 0.891 Pb
0.734 0.891 0.257 Pb
0.109 0.743 0.266 Pb
0.743 0.266 0.109 Pb
```


Entry 3:
Compound: Tl2Sb3Pb2
Source: Alexandria via LeMat-Bulk
Functional: PBE
Structure: optimized geometry

## Properties
- Total DFT energy (no corrections): -24.09 eV for the cell shown

The structure in POSCAR format:
```
Tl2Sb3Pb2
1.0
-3.148 3.846 -0.733
-1.923 -5.457 -3.162
-2.740 -0.867 7.216
Tl Sb Pb
2 3 2
direct
0.874 0.748 0.236 Tl
0.126 0.252 0.764 Tl
0.500 0.000 0.000 Sb
0.604 0.208 0.441 Sb
0.396 0.792 0.559 Sb
0.844 0.688 0.778 Pb
0.156 0.312 0.222 Pb
```